First-principles (PBE-GGA) data for a relaxed Pr2NdSn3Pt4 crystal, as listed in Alexandria via LeMat-Bulk.

The space group is P-4m2 (No. 115) and the conventional cell measures 4.6403, 4.6403 and 11.2574 Å, with angles of 90.00, 90.00 and 90.00 degrees. The inequivalent atoms are Pr at (0.0000, 0.5000, 0.2148), Nd at (0.0000, 0.0000, 0.5000), Sn at (0.0000, 0.5000, 0.8779), Sn at (0.5000, 0.5000, 0.5000), Pt at (0.0000, 0.0000, 0.0000), Pt at (0.0000, 0.5000, 0.6473) and Pt at (0.5000, 0.5000, 0.0000).

The value obtained for the mass density is 10.7 g/cm³. Its density of states at the Fermi level is 7.009 states/eV/f.u. The value obtained for the energy relative to the elements is -0.874 eV/atom.


First-principles (PBE-GGA) data for a relaxed SrMn2Be2 crystal, as listed in Alexandria via LeMat-Bulk.

The space group is I4/mmm (No. 139) and the conventional cell measures 3.5080, 3.5080 and 12.3349 Å, with angles of 90.00, 90.00 and 90.00 degrees. The inequivalent atoms are Sr at (0.0000, 0.0000, 0.0000), Mn at (0.0000, 0.5000, 0.2500) and Be at (0.0000, 0.0000, 0.3634).

The value obtained for the mass density is 4.7 g/cm³. The value obtained for the relative energy among the computed polymorphs is 0.0 meV per atom. Its density of states at the Fermi level is 4.451 states/eV/f.u. The value obtained for the energy relative to the elements is 0.480 eV/atom.


First-principles (PBE-GGA) data for a relaxed TbSm4DyHo2 crystal, as listed in Alexandria via LeMat-Bulk.

The space group is P2/m (No. 10) and the conventional cell measures 5.0637, 5.0781 and 10.0983 Å, with angles of 90.00, 90.04 and 90.00 degrees. The inequivalent atoms are Tb at (0.0000, 0.0000, 0.0000), Sm at (0.0002, 0.5000, 0.2501), Sm at (0.5002, 0.0000, 0.2503), Dy at (0.5000, 0.5000, 0.5000), Ho at (0.0000, 0.0000, 0.5000) and Ho at (0.5000, 0.5000, 0.0000).

The value obtained for the mass density is 8.0 g/cm³. Its density of states at the Fermi level is 10.638 states/eV/f.u. The value obtained for the energy relative to the elements is 0.016 eV/atom.